Material: PaCr4Cu3O12
Method: DFT, PBE with a Hubbard U
State: relaxed

Structure (extended XYZ):
```
20
Lattice="-5.017 3.199 -2.486 -1.405 -6.285 0.322 1.251 2.229 5.920" Properties=species:S:1:pos:R:3 pbc="T T T"
Pa 0.000 0.000 0.000
Cr -2.508 1.599 -1.243
Cr -2.585 -0.429 1.878
Cr -0.702 -3.143 0.161
Cr 0.625 1.115 2.960
Cu -0.077 -2.028 3.121
Cu -3.211 -1.543 -1.082
Cu -1.883 2.714 1.717
O -2.493 -4.010 0.306
O -2.678 3.153 3.451
O -4.032 -1.792 1.710
O -5.145 -1.277 -0.956
O -4.001 2.510 -0.283
O -1.107 -1.709 1.488
O -2.521 -0.015 -0.072
O -1.170 -3.367 4.039
O -1.139 0.935 2.047
O -0.025 0.420 4.713
O -4.064 0.852 2.269
O -2.650 -0.842 3.829
```

Properties
- VASP energy: -145.6 eV/cell
- Size of the total moment: 14.06 μB/cell
- V: 10.32 Å³/atom